(1)
Crystalline NpSiRu2 at its relaxed geometry. Source: the Alexandria database, functional GGA-PBE.

The space group is P4/mmm (No. 123) and the conventional cell measures 4.205, 4.205 and 3.623 Å, with angles of 90.00, 90.00 and 90.00 degrees. The distinct sites, in fractional coordinates, are Np at (0.000, 0.000, 0.000), Si at (0.500, 0.500, 0.000) and Ru at (0.000, 0.500, 0.500).

The crystal system is tetragonal.

(2)
Crystalline NpSiRu2 at its relaxed geometry. Source: the Alexandria database, functional GGA-PBE.

The space group is P4/mmm (No. 123) and the conventional cell measures 2.978, 2.978 and 6.920 Å, with angles of 90.00, 90.00 and 90.00 degrees. The distinct sites, in fractional coordinates, are Np at (0.000, 0.000, 0.000), Si at (0.000, 0.000, 0.500) and Ru at (0.500, 0.500, 0.296).

The crystal system is tetragonal.

E_form (uncorrected) for the records above, in order: -0.2387 -0.2873 eV/atom